Ba3PuZr2O9, optimized geometry, DFT GGA-PBE; uncorrected energy = -8.5783 eV/atom; volume = 16.00 Å³ per atom
1.0
-0.637 3.023 -5.249
1.779 -5.825 -0.037
-7.135 -2.176 -0.387
Zr Ba O Pu
2 3 9 1
Cartesian
-0.184 -3.229 -1.837
-5.810 -1.750 -3.836
-3.804 -4.333 -2.034
0.000 0.000 0.000
-2.190 -0.645 -3.640
0.571 -1.401 -2.643
0.889 -2.912 -0.019
-5.023 0.055 -4.623
-4.152 -2.798 -4.641
-1.283 -3.553 -3.621
-4.711 -1.425 -2.052
-1.842 -2.181 -1.032
-0.971 -5.033 -1.051
-0.319 1.512 -2.624
-3.568 -1.088 -0.194